First-principles (PBEsol) data for a geometry-optimized BaPtRh2 structure, as listed in the Alexandria database.

- energy of formation from the pure elements (meV/atom) = -121.0
- total magnetic moment (μB/cell) = 0.891
- E_tot (eV per atom) = -6.4683

Cell lengths 4.4203, 4.4203, 6.0178 Å; angles 68.45, 68.45, 60.00 degrees
Closest atoms and distances in Å follow each position.
Positions (direct):
Ba (0.4960, 0.4960, 0.5119)  1 Rh 3.03, 1 Pt 3.10
Pt (0.3065, 0.3065, 0.0806)  6 Rh 2.58-2.64
Rh (0.9978, 0.9978, 0.0065)  3 Rh 2.57, 3 Pt 2.58
Rh (0.6813, 0.6813, 0.9560)  3 Rh 2.57, 3 Pt 2.64

---

First-principles (PBEsol) data for a geometry-optimized BaPtRh2 structure, as listed in the Alexandria database.

- energy of formation from the pure elements (meV/atom) = 270.7
- total magnetic moment (μB/cell) = 0.002
- E_tot (eV per atom) = -6.0767

Cell lengths 2.9203, 3.7716, 6.9359 Å; angles 90.00, 90.00, 90.00 degrees
Closest atoms and distances in Å follow each position.
Positions (direct):
Ba (0.5000, 0.5000, 0.0000)  2 Ba 2.92, 8 Rh 3.24
Pt (0.5000, 0.5000, 0.5000)  8 Rh 2.70, 2 Pt 2.92
Rh (0.0000, 0.0000, 0.6837)  1 Rh 2.55, 4 Pt 2.70
Rh (0.0000, 0.0000, 0.3163)  1 Rh 2.55, 4 Pt 2.70

---

First-principles (PBEsol) data for a geometry-optimized BaRu3Pt structure, as listed in the Alexandria database.

- energy of formation from the pure elements (meV/atom) = 1408.2
- total magnetic moment (μB/cell) = 2.926
- E_tot (eV per atom) = -6.5178

Cell lengths 4.8157, 4.8157, 4.8157 Å; angles 90.00, 90.00, 90.00 degrees
Closest atoms and distances in Å follow each position.
Positions (direct):
Ru (0.0000, 0.5000, 0.0000)  2 Pt 2.41
Ru (0.0000, 0.0000, 0.5000)  2 Pt 2.41
Ru (0.5000, 0.0000, 0.0000)  2 Pt 2.41
Ba (0.5000, 0.5000, 0.5000)  12 Ru 3.41
Pt (0.0000, 0.0000, 0.0000)  6 Ru 2.41

---

First-principles (PBEsol) data for a geometry-optimized BaRuPt2 structure, as listed in the Alexandria database.

- energy of formation from the pure elements (meV/atom) = 602.6
- total magnetic moment (μB/cell) = 1.818
- E_tot (eV per atom) = -5.9595

Cell lengths 4.8081, 4.8081, 4.8081 Å; angles 60.00, 60.00, 60.00 degrees
Closest atoms and distances in Å follow each position.
Positions (direct):
Ba (0.0000, 0.0000, 0.0000)  8 Pt 2.94
Pt (0.2500, 0.2500, 0.2500)  4 Ba 2.94, 4 Ru 2.94
Pt (0.7500, 0.7500, 0.7500)  4 Ba 2.94, 4 Ru 2.94
Ru (0.5000, 0.5000, 0.5000)  8 Pt 2.94

---

First-principles (PBEsol) data for a geometry-optimized Ba2RuPt structure, as listed in the Alexandria database.

- energy of formation from the pure elements (meV/atom) = 491.6
- total magnetic moment (μB/cell) = 1.622
- E_tot (eV per atom) = -4.8669

Cell lengths 5.1707, 5.1707, 5.1707 Å; angles 60.00, 60.00, 60.00 degrees
Closest atoms and distances in Å follow each position.
Positions (direct):
Ba (0.0000, 0.0000, 0.0000)  4 Ba 3.17, 4 Ru 3.17
Ba (0.2500, 0.2500, 0.2500)  4 Ba 3.17, 4 Pt 3.17
Pt (0.5000, 0.5000, 0.5000)  4 Ru 3.17, 4 Ba 3.17
Ru (0.7500, 0.7500, 0.7500)  4 Ba 3.17, 4 Pt 3.17

---

First-principles (PBEsol) data for a geometry-optimized BaRuPt2 structure, as listed in the Alexandria database.

- energy of formation from the pure elements (meV/atom) = 233.6
- total magnetic moment (μB/cell) = 0.000
- E_tot (eV per atom) = -6.3285

Cell lengths 2.8881, 4.4038, 6.3623 Å; angles 90.00, 87.27, 90.00 degrees
Closest atoms and distances in Å follow each position.
Positions (direct):
Ba (0.4126, 0.5000, 0.7687)  2 Ba 2.89, 5 Pt 3.16-3.20
Pt (0.8803, 0.0000, 0.0444)  2 Ru 2.61, 4 Pt 2.74-2.89
Pt (0.8628, 0.5000, 0.3000)  4 Ru 2.68-2.70, 4 Pt 2.74-2.89
Ru (0.3444, 0.0000, 0.3868)  6 Pt 2.61-2.70, 2 Ru 2.89

---

First-principles (PBEsol) data for a geometry-optimized Ba3PtS structure, as listed in the Alexandria database.

- total magnetic moment (μB/cell) = 0.000
- energy relative to the elements, uncorrected (eV/atom) = -0.544
- E_tot (eV per atom) = -4.1029

Cell lengths 5.8362, 5.8362, 5.8362 Å; angles 90.00, 90.00, 90.00 degrees
Closest atoms and distances in Å follow each position.
Positions (direct):
S (0.0000, 0.0000, 0.0000)  6 Ba 2.92
Ba (0.0000, 0.5000, 0.0000)  2 S 2.92
Ba (0.0000, 0.0000, 0.5000)  2 S 2.92
Ba (0.5000, 0.0000, 0.0000)  2 S 2.92
Pt (0.5000, 0.5000, 0.5000)  12 Ba 4.13

---

First-principles (PBEsol) data for a geometry-optimized BaPt2S structure, as listed in the Alexandria database.

- total magnetic moment (μB/cell) = 0.000
- energy relative to the elements, uncorrected (eV/atom) = -0.781
- E_tot (eV per atom) = -5.8965

Cell lengths 5.2701, 5.2701, 8.2471 Å; angles 108.63, 108.63, 90.00 degrees
Closest atoms and distances in Å follow each position.
Positions (direct):
S (0.5000, 0.5000, 0.0000)  4 Pt 2.26
S (0.7500, 0.2500, 0.5000)  4 Pt 2.26
Ba (0.0000, 0.0000, 0.0000)  8 Pt 3.47, 4 S 3.73
Ba (0.2500, 0.7500, 0.5000)  8 Pt 3.47, 4 S 3.73
Pt (0.6250, 0.3750, 0.7500)  2 S 2.26
Pt (0.1250, 0.3750, 0.7500)  2 S 2.26
Pt (0.6250, 0.8750, 0.2500)  2 S 2.26
Pt (0.6250, 0.3750, 0.2500)  2 S 2.26

---

First-principles (PBEsol) data for a geometry-optimized BaTlPtS2 structure, as listed in the Alexandria database.

- total magnetic moment (μB/cell) = 0.743
- energy relative to the elements, uncorrected (eV/atom) = 0.587
- E_tot (eV per atom) = -3.5154

Cell lengths 4.8833, 4.8833, 7.0156 Å; angles 90.00, 90.00, 90.00 degrees
Closest atoms and distances in Å follow each position.
Positions (direct):
S (0.0000, 0.5000, 0.0000)  2 Tl 2.44
S (0.5000, 0.0000, 0.0000)  2 Tl 2.44
Tl (0.0000, 0.0000, 0.0000)  4 S 2.44
Ba (0.0000, 0.0000, 0.5000)  4 Pt 3.45, 2 Tl 3.51
Pt (0.5000, 0.5000, 0.5000)  4 Ba 3.45

---

First-principles (PBEsol) data for a geometry-optimized BaSb2Pt structure, as listed in the Alexandria database.

- total magnetic moment (μB/cell) = 0.000
- energy relative to the elements, uncorrected (eV/atom) = -0.582
- E_tot (eV per atom) = -5.1392

Cell lengths 4.3042, 5.2879, 6.1488 Å; angles 112.01, 90.00, 114.02 degrees
Closest atoms and distances in Å follow each position.
Positions (direct):
Ba (0.4640, 0.9279, 0.4902)  3 Pt 3.42-3.45, 7 Sb 3.45-3.79
Pt (0.7193, 0.4386, 0.0797)  4 Sb 2.71-2.72
Sb (0.0457, 0.0914, 0.0752)  2 Pt 2.72, 1 Sb 3.00
Sb (0.2710, 0.5420, 0.8549)  2 Pt 2.71, 1 Sb 3.00

---

First-principles (PBEsol) data for a geometry-optimized Ba2SbPt structure, as listed in the Alexandria database.

- total magnetic moment (μB/cell) = 0.000
- energy relative to the elements, uncorrected (eV/atom) = -0.612
- E_tot (eV per atom) = -4.5663

Cell lengths 3.7926, 5.7872, 5.7872 Å; angles 90.00, 90.00, 90.00 degrees
Closest atoms and distances in Å follow each position.
Positions (direct):
Ba (0.0000, 0.0000, 0.5000)  4 Pt 3.46, 4 Sb 3.46, 2 Ba 3.79
Ba (0.0000, 0.5000, 0.0000)  4 Pt 3.46, 4 Sb 3.46, 2 Ba 3.79
Pt (0.5000, 0.5000, 0.5000)  8 Ba 3.46, 2 Pt 3.79
Sb (0.5000, 0.0000, 0.0000)  8 Ba 3.46, 2 Sb 3.79

---

First-principles (PBEsol) data for a geometry-optimized BaSb2Pt structure, as listed in the Alexandria database.

- total magnetic moment (μB/cell) = 0.000
- energy relative to the elements, uncorrected (eV/atom) = -0.051
- E_tot (eV per atom) = -4.6075

Cell lengths 3.2440, 5.8263, 5.8263 Å; angles 110.89, 90.00, 90.00 degrees
Closest atoms and distances in Å follow each position.
Positions (direct):
Ba (0.5000, 0.0000, 0.0000)  2 Ba 3.24, 2 Pt 3.30, 8 Sb 3.33
Pt (0.5000, 0.5000, 0.5000)  2 Pt 3.24, 2 Ba 3.30, 8 Sb 3.33
Sb (0.0000, 0.5000, 0.0000)  4 Sb 3.24-3.30, 4 Ba 3.33, 4 Pt 3.33
Sb (0.0000, 0.0000, 0.5000)  4 Sb 3.24-3.30, 4 Pt 3.33, 4 Ba 3.33

---

First-principles (PBEsol) data for a geometry-optimized BaSbPt structure, as listed in the Alexandria database.

- total magnetic moment (μB/cell) = 0.000
- energy relative to the elements, uncorrected (eV/atom) = -0.909
- E_tot (eV per atom) = -5.4658

Cell lengths 4.5371, 4.5371, 4.8758 Å; angles 90.00, 90.00, 120.00 degrees
Closest atoms and distances in Å follow each position.
Positions (direct):
Sb (0.3333, 0.6667, 0.5000)  3 Pt 2.62
Ba (0.0000, 0.0000, 0.0000)  6 Sb 3.58, 6 Pt 3.58
Pt (0.6667, 0.3333, 0.5000)  3 Sb 2.62

---

First-principles (PBEsol) data for a geometry-optimized BaSb2Pt structure, as listed in the Alexandria database.

- total magnetic moment (μB/cell) = 0.000
- energy relative to the elements, uncorrected (eV/atom) = -0.771
- E_tot (eV per atom) = -5.3276

Cell lengths 4.2998, 5.1779, 5.3461 Å; angles 106.74, 90.00, 90.00 degrees
Closest atoms and distances in Å follow each position.
Positions (direct):
Sb (0.0000, 0.2931, 0.1690)  2 Pt 2.67
Sb (0.0000, 0.7069, 0.8310)  2 Pt 2.67
Ba (0.5000, 0.0000, 0.5000)  2 Pt 3.14, 4 Sb 3.41
Pt (0.5000, 0.5000, 0.0000)  4 Sb 2.67